Here is Sm2GdNbO6 after structural relaxation from OQMD via LeMat-Bulk. Energies are from PBE-GGA.

Output
total energy = -8.203 eV/atom

Cell lengths 5.7030, 5.7030, 8.5140 Å; angles 90.00, 90.00, 90.00 degrees
With the nearest neighbours (Å) after each atom.
Space group I4/m (No. 87)
Unique sites:
Sm (0.0000, 0.5000, 0.2500) [4 per cell]  4 O 2.49
Gd (0.0000, 0.0000, 0.0000) [2 per cell]  6 O 2.19-2.24
Nb (0.0000, 0.0000, 0.5000) [2 per cell]  6 O 2.05-2.06
O (0.0000, 0.0000, 0.2575) [4 per cell]  1 Nb 2.06, 1 Gd 2.19
O (0.1472, 0.3284, 0.5000) [8 per cell]  1 Nb 2.05, 1 Gd 2.24